Material: SrLuBi
Method: DFT, PBE
State: optimized geometry

Unit cell a=4.637 b=5.225 c=5.225 alpha=120.00 beta=90.00 gamma=90.00
Fractional coordinates of all 3 atoms:
Sr 0.666 0.667 0.333
Bi 0.170 0.333 0.667
Lu 0.165 0.000 0.000

## Properties
E_tot: -3.701 eV per atom
Calculated formation energy: -340 meV per atom
Symmetry: P3m1